# Sm5DySb4, relaxed, DFT PBE
# * ΔE_f (raw): -747 kJ/mol of formula units
# * density of states at the Fermi level: 6.3 states/eV/f.u.
data_Sm5DySb4
_chemical_formula_sum 'Sm5 Dy1 Sb4'
_space_group_name_H-M_alt 'P 1'
_space_group_IT_number 1
_space_group_name_Hall 'P 1'
_cell_length_a 9.732
_cell_length_b 9.732
_cell_length_c 8.574
_cell_angle_alpha 104.85
_cell_angle_beta 104.85
_cell_angle_gamma 25.93
loop_
_atom_site_label
_atom_site_fract_x
_atom_site_fract_y
_atom_site_fract_z
_atom_site_occupancy
Sm1 0.000 0.000 0.000 1
Sm2 0.325 0.325 0.151 1
Sm3 0.336 0.336 0.673 1
Sm4 0.664 0.664 0.327 1
Sm5 0.675 0.675 0.849 1
Dy1 0.000 0.000 0.500 1
Sb1 0.168 0.168 0.588 1
Sb2 0.494 0.494 0.248 1
Sb3 0.506 0.506 0.752 1
Sb4 0.832 0.832 0.412 1